# As4Pt (PBE, optimized geometry)
# M_tot	0.00	μB/f.u.
# crystal system	monoclinic
# relative energy among the computed polymorphs	0	meV per atom
# Fermi-level density of states	0.281	states/eV per atom
# ΔE_f	-0.201	eV/atom
# raw total energy	-5.13	eV/atom
data_As4Pt
_space_group_name_H-M_alt 'P 1 21/c 1'
_space_group_IT_number 14
_cell_length_a 5.418
_cell_length_b 5.358
_cell_length_c 7.209
_cell_angle_alpha 90.00
_cell_angle_beta 102.40
_cell_angle_gamma 90.00
loop_
_space_group_symop_operation_xyz
'x,y,z'
'-x,-y,-z'
'-x,y+1/2,-z+1/2'
'x,-y+1/2,z+1/2'
loop_
_atom_site_label
_atom_site_type_symbol
_atom_site_fract_x
_atom_site_fract_y
_atom_site_fract_z
_atom_site_occupancy
As1 As 0.139 0.170 0.437 1
As2 As 0.282 0.679 0.752 1
Pt1 Pt 0.500 0.000 0.000 1